The following is a DFT calculation (GGA+U) of an optimized crystal structure of MnTlCO2.

## Properties
For the density of states at the Fermi level, the calculation gives 0.2294 states/eV per atom. The final energy is -4.67 eV per atom.

abc: 4.1184 4.1184 4.1213
angles: 90.00 90.00 90.00
With the nearest neighbours (Å) after each atom.
Space group P4/mmm (No. 123)
Symmetry-distinct sites (fractional):
Mn 0.0000 0.0000 0.0000 [1 per cell]  4 Tl 2.91, 8 O 2.91
Tl 0.5000 0.5000 0.0000 [1 per cell]  2 C 2.06
C 0.5000 0.5000 0.5000 [1 per cell]  4 O 2.06, 2 Tl 2.06
O 0.0000 0.5000 0.5000 [2 per cell]  2 C 2.06